# Rb3PmBi2Te6

A relaxed structure of Rb3PmBi2Te6 (PBE, Alexandria).

Properties
size of the total moment: 0.0 μB/f.u.
DOS(E_F): 0.00 states/eV/cell
DFT total energy: -3.731 eV/atom

Cell lengths 8.0281, 13.9050, 8.9847 Å; angles 90.00, 107.33, 90.00 degrees
Last column: nearest neighbours and their distance in Å.
Space group C2/m (No. 12)
Symmetry-distinct sites (fractional):
Rb 0.0000 0.0000 0.0000  6 Te 3.69-3.70
Rb 0.0000 0.3325 0.0000  6 Te 3.69-3.71
Pm 0.0000 0.5000 0.5000  6 Te 3.20
Bi 0.0000 0.1666 0.5000  6 Te 3.18-3.19
Te 0.2330 0.0000 0.7025  2 Bi 3.19, 1 Pm 3.20
Te 0.2346 0.3327 0.7022  2 Bi 3.18-3.19, 1 Pm 3.20